[1]
Material: Ce8Ru6Au
Method: DFT, PBE
State: relaxed

Lattice parameters (Å, degrees): 9.8978 9.8978 4.0912 90.00 90.00 120.00
Last column: nearest neighbours and their distance in Å.
Sites, in units of the cell vectors:
Ce 0.0484 0.3188 0.2600  4 Ru 2.66-2.84
Ce 0.2703 0.9516 0.2600  4 Ru 2.66-2.84
Ce 0.3188 0.2703 0.7400  4 Ru 2.66-2.84
Ce 0.3333 0.6667 0.7542  6 Ru 2.99-3.02
Ce 0.6667 0.3333 0.2458  6 Ru 2.99-3.02
Ce 0.6812 0.7297 0.2600  4 Ru 2.66-2.84
Ce 0.7297 0.0484 0.7400  4 Ru 2.66-2.84
Ce 0.9516 0.6812 0.7400  4 Ru 2.66-2.84
Ru 0.0926 0.6249 0.2481  4 Ce 2.66-2.84
Ru 0.3751 0.4677 0.2481  4 Ce 2.66-2.84
Ru 0.4677 0.0926 0.7519  4 Ce 2.66-2.84
Ru 0.5323 0.9074 0.2481  4 Ce 2.66-2.84
Ru 0.6249 0.5323 0.7519  4 Ce 2.66-2.84
Ru 0.9074 0.3751 0.7519  4 Ce 2.66-2.84
Au 0.0000 0.0000 0.0000  6 Ce 3.13

## Properties
Symmetry ... P-3, No. 147
Total DFT energy (no corrections) ... -7.420 eV per atom
E_form ... -4.90 eV/f.u.


[2]
Material: LiLa4Tl3
Method: DFT, PBE
State: relaxed

Lattice parameters (Å, degrees): 9.7497 9.7497 9.7497 33.45 33.45 33.45
Last column: nearest neighbours and their distance in Å.
Sites, in units of the cell vectors:
Li 0.0000 0.0000 0.0000  8 La 3.47-3.49, 6 Tl 3.86
La 0.1266 0.1266 0.1266  7 Tl 3.42-3.61, 1 Li 3.49
La 0.3780 0.3780 0.3780  5 Tl 3.33-3.37, 3 Li 3.47
La 0.6220 0.6220 0.6220  5 Tl 3.33-3.37, 3 Li 3.47
La 0.8734 0.8734 0.8734  7 Tl 3.42-3.61, 1 Li 3.49
Tl 0.2573 0.2573 0.2573  8 La 3.33-3.61
Tl 0.5000 0.5000 0.5000  8 La 3.37-3.42
Tl 0.7427 0.7427 0.7427  8 La 3.33-3.61

## Properties
Symmetry ... R-3m, No. 166
Total DFT energy (no corrections) ... -3.914 eV per atom
E_form ... -2.59 eV/f.u.